# 1
Entry from Alexandria: a geometry-optimized HoPaCo3 structure (PBE).

Lattice parameters (Å, degrees): 5.4412 6.6650 5.8441 77.23 62.27 65.90
Atoms (fractional coordinates):
Ho 0.5450 0.9313 0.8964
Ho 0.5451 0.4312 0.3963
Co 0.0058 0.5337 0.8732
Co 0.1851 0.8466 0.7009
Co 0.5049 0.5336 0.8732
Co 0.0057 0.0337 0.3733
Co 0.1851 0.3466 0.2009
Co 0.5048 0.0336 0.3733
Pa 0.9508 0.2297 0.7866
Pa 0.9508 0.7297 0.2867

* space group: No. 8
* volume: 17.11 Å³/atom
* polymorph energy (0 for the lowest one): 48 meV per atom
* energy relative to the elements: -0.253 eV/atom

# 2
Entry from Alexandria: a geometry-optimized HoPaCo2 structure (PBE).

Lattice parameters (Å, degrees): 3.3353 3.3353 6.7025 90.00 90.00 90.00
Atoms (fractional coordinates):
Ho 0.5000 0.5000 0.5000
Co 0.0000 0.0000 0.7978
Co 0.0000 0.0000 0.2022
Pa 0.5000 0.5000 0.0000

* space group: No. 123
* volume: 18.64 Å³/atom
* polymorph energy (0 for the lowest one): 122 meV per atom
* energy relative to the elements: -0.266 eV/atom

# 3
Entry from Alexandria: a geometry-optimized HoPaCo structure (PBE).

Lattice parameters (Å, degrees): 3.4183 3.4183 6.0424 106.43 106.43 90.00
Atoms (fractional coordinates):
Pa 0.2953 0.2953 0.5907
Co 0.7006 0.7006 0.4013
Ho 0.0040 0.0040 0.0080

* space group: No. 107
* volume: 21.57 Å³/atom
* polymorph energy (0 for the lowest one): 0 meV per atom
* energy relative to the elements: -0.140 eV/atom

# 4
Entry from Alexandria: a geometry-optimized Ho2PaCo4 structure (PBE).

Lattice parameters (Å, degrees): 4.3347 4.3347 7.3365 107.18 107.18 90.00
Atoms (fractional coordinates):
Co 0.6023 0.1023 0.2045
Co 0.1023 0.6023 0.2045
Co 0.3977 0.8977 0.7955
Co 0.8977 0.3977 0.7955
Ho 0.7301 0.7301 0.4603
Ho 0.2699 0.2699 0.5397
Pa 0.0000 0.0000 0.0000

* space group: No. 139
* volume: 17.89 Å³/atom
* energy relative to the elements: 0.059 eV/atom

# 5
Entry from Alexandria: a geometry-optimized Ho2PaCo9 structure (PBE).

Lattice parameters (Å, degrees): 4.9016 4.9016 8.6914 73.62 73.62 60.00
Each line ends with the local moment (μB).
Atoms (fractional coordinates):
Co 0.4175 0.9204 0.2446  1.22
Co 0.6659 0.6659 0.0022  1.04
Co 0.9204 0.4175 0.2446  1.22
Co 0.3341 0.3341 0.9978  1.04
Co 0.5825 0.0796 0.7554  1.22
Co 0.4175 0.4175 0.2446  1.22
Co 0.5825 0.5825 0.7554  1.22
Co 0.5000 0.5000 0.5000  1.06
Co 0.0796 0.5825 0.7554  1.22
Pa 0.0000 0.0000 0.0000  -0.73
Ho 0.8600 0.8600 0.4200  -0.36
Ho 0.1400 0.1400 0.5800  -0.36

* space group: No. 166
* volume: 14.25 Å³/atom
* energy relative to the elements: -0.208 eV/atom

# 6
Entry from Alexandria: a geometry-optimized HoPaCo2 structure (PBE).

Lattice parameters (Å, degrees): 5.2714 5.7622 10.1376 88.32 90.00 90.00
Atoms (fractional coordinates):
Co 0.7497 0.0806 0.8692
Co 0.7495 0.5740 0.1716
Co 0.7495 0.9260 0.3284
Co 0.2505 0.4260 0.8284
Co 0.7497 0.4194 0.6308
Co 0.2503 0.9194 0.1308
Co 0.2505 0.0740 0.6716
Co 0.2503 0.5806 0.3692
Pa 0.2500 0.5536 0.6093
Pa 0.7500 0.0536 0.1093
Pa 0.2500 0.9464 0.8907
Pa 0.7500 0.4464 0.3907
Ho 0.7502 0.5663 0.8914
Ho 0.2498 0.4337 0.1086
Ho 0.7502 0.9337 0.6086
Ho 0.2498 0.0663 0.3914

* space group: No. 12
* volume: 19.24 Å³/atom
* polymorph energy (0 for the lowest one): 153 meV per atom
* energy relative to the elements: -0.235 eV/atom

# 7
Entry from Alexandria: a geometry-optimized HoPaCo2 structure (PBE).

Lattice parameters (Å, degrees): 4.6958 4.6958 4.6958 60.00 60.00 60.00
Atoms (fractional coordinates):
Pa 0.0000 0.0000 0.0000
Ho 0.5000 0.5000 0.5000
Co 0.2500 0.2500 0.2500
Co 0.7500 0.7500 0.7500

* space group: No. 225
* volume: 18.30 Å³/atom
* polymorph energy (0 for the lowest one): 260 meV per atom
* energy relative to the elements: -0.128 eV/atom

# 8
Entry from Alexandria: a geometry-optimized HoPaCo2 structure (PBE).

Lattice parameters (Å, degrees): 4.2395 4.2395 5.5089 67.37 67.37 60.00
Atoms (fractional coordinates):
Co 0.2094 0.2094 0.3718
Co 0.7906 0.7906 0.6282
Pa 0.5000 0.5000 0.5000
Ho 0.0000 0.0000 0.0000

* space group: No. 166
* volume: 19.20 Å³/atom
* polymorph energy (0 for the lowest one): 43 meV per atom
* energy relative to the elements: -0.345 eV/atom

Repeat the third record exactly.
Entry from Alexandria: a geometry-optimized HoPaCo structure (PBE).

Lattice parameters (Å, degrees): 3.4183 3.4183 6.0424 106.43 106.43 90.00
Atoms (fractional coordinates):
Pa 0.2953 0.2953 0.5907
Co 0.7006 0.7006 0.4013
Ho 0.0040 0.0040 0.0080

* space group: No. 107
* volume: 21.57 Å³/atom
* polymorph energy (0 for the lowest one): 0 meV per atom
* energy relative to the elements: -0.140 eV/atom